Pm4Zn3Ni | Alexandria via LeMat-Bulk | PBE-GGA | optimized geometry; E_form = -279 meV per atom; N(E_F) = 1.0615 states/eV/atom; symmetry = No. 25; energy above the lowest structure with this stoichiometry = 0.0254 eV per atom
1.0
3.7735 0.0000 0.0000
0.0000 4.5594 0.0000
0.0000 0.0000 11.2817
Pm Zn Ni
4 3 1
Direct
0.0000 0.0000 0.0000
0.0000 0.5000 0.2708
0.5000 0.0000 0.4688
0.5000 0.5000 0.7817
0.0000 0.0000 0.6955
0.0000 0.5000 0.5578
0.5000 0.5000 0.0639
0.5000 0.0000 0.1919